A relaxed EuBH crystal, computed with PBE.

Cell lengths 6.8948, 7.2181, 7.4434 Å; angles 90.00, 90.00, 90.00 degrees
Last column: nearest neighbours and their distance in Å.
Space group Cmce (No. 64)
Symmetry-distinct sites (fractional):
Eu (0.2500, 0.1613, 0.2500) x8  4 H 2.60-2.63, 4 B 2.83-2.85
B (0.0000, 0.0865, 0.5687) x8  1 H 1.29
H (0.0000, 0.2487, 0.0031) x8  1 B 1.29

Computed properties:
Uncorrected energy in eV/atom: -6.9437



A relaxed NaB3W crystal, computed with PBE.

Cell lengths 4.2344, 4.2344, 4.2344 Å; angles 90.00, 90.00, 90.00 degrees
Last column: nearest neighbours and their distance in Å.
Space group Pm-3m (No. 221)
Symmetry-distinct sites (fractional):
Na (0.0000, 0.0000, 0.0000) x1  12 B 2.99
B (0.0000, 0.5000, 0.5000) x3  2 W 2.12
W (0.5000, 0.5000, 0.5000) x1  6 B 2.12

Computed properties:
Uncorrected energy in eV/atom: -5.9371



A relaxed ScNb2NiPt crystal, computed with PBE.

Cell lengths 4.5365, 4.5365, 4.7775 Å; angles 90.00, 90.00, 90.00 degrees
Last column: nearest neighbours and their distance in Å.
Space group P4/mmm (No. 123)
Symmetry-distinct sites (fractional):
Sc (0.0000, 0.0000, 0.0000) x1  4 Pt 3.21, 8 Nb 3.29
Nb (0.0000, 0.5000, 0.5000) x2  2 Ni 2.27
Ni (0.5000, 0.5000, 0.5000) x1  4 Nb 2.27, 2 Pt 2.39
Pt (0.5000, 0.5000, 0.0000) x1  2 Ni 2.39

Computed properties:
Uncorrected energy in eV/atom: -7.2664



A relaxed Li2As2Rh crystal, computed with PBE.

Cell lengths 6.2587, 6.2587, 4.2080 Å; angles 90.00, 90.00, 90.00 degrees
Last column: nearest neighbours and their distance in Å.
Space group P4/mbm (No. 127)
Symmetry-distinct sites (fractional):
Li (0.1735, 0.3265, 0.0000) x4  6 As 2.68-2.88
As (0.1382, 0.6382, 0.5000) x4  2 Rh 2.42, 1 As 2.45, 2 Li 2.68
Rh (0.0000, 0.0000, 0.5000) x2  4 As 2.42

Computed properties:
Uncorrected energy in eV/atom: -4.7210



A relaxed Cd2TeCl crystal, computed with PBE.

Cell lengths 8.2144, 4.1915, 7.8302 Å; angles 90.00, 119.32, 90.00 degrees
Last column: nearest neighbours and their distance in Å.
Space group C2/m (No. 12)
Symmetry-distinct sites (fractional):
Cd (0.2135, 0.0000, 0.2749) x4  2 Cl 2.90, 3 Te 3.00-3.03
Te (0.0000, 0.0000, 0.5000) x2  6 Cd 3.00-3.03
Cl (0.0000, 0.5000, 0.0000) x2  4 Cd 2.90

Computed properties:
Raw formation energy in eV per formula unit: -1.7



A relaxed NiAgMo2 crystal, computed with PBE.

Cell lengths 2.6945, 2.6945, 8.3114 Å; angles 90.00, 90.00, 90.00 degrees
Last column: nearest neighbours and their distance in Å.
Space group P4mm (No. 99)
Symmetry-distinct sites (fractional):
Ni (0.0000, 0.0000, 0.0000) x1  4 Mo 2.57, 4 Ni 2.69, 4 Ag 2.78
Ag (0.5000, 0.5000, 0.2441) x1  4 Ag 2.69, 4 Ni 2.78, 4 Mo 2.97
Mo (0.0000, 0.0000, 0.5182) x1  8 Mo 2.69-2.97, 4 Ag 2.97
Mo (0.5000, 0.5000, 0.7922) x1  4 Ni 2.57, 4 Mo 2.69

Computed properties:
Uncorrected energy in eV/atom: -7.3553



A relaxed K4Y3BiSe8 crystal, computed with PBE.

Cell lengths 8.4947, 8.4947, 23.0672 Å; angles 90.00, 90.00, 120.00 degrees
Last column: nearest neighbours and their distance in Å.
Space group R-3m (No. 166, hexagonal axes)
Symmetry-distinct sites (fractional):
K (0.0000, 0.0000, 0.0000) x3  6 Se 3.29
K (0.0000, 0.5000, 0.0000) x9  6 Se 3.34-3.35
Y (0.0000, 0.5000, 0.5000) x9  6 Se 2.91
Bi (0.0000, 0.0000, 0.5000) x3  6 Se 2.96
Se (0.0000, 0.0000, 0.2350) x6  3 Y 2.91
Se (0.0064, 0.5032, 0.7642) x18  2 Y 2.91, 1 Bi 2.96

Computed properties:
Raw formation energy in eV per formula unit: -24.5



A relaxed EuUGa2 crystal, computed with PBE.

Cell lengths 3.2114, 3.2114, 8.8023 Å; angles 90.00, 90.00, 90.00 degrees
Last column: nearest neighbours and their distance in Å.
Space group P4/mmm (No. 123)
Symmetry-distinct sites (fractional):
Eu (0.0000, 0.0000, 0.0000) x1  4 Eu 3.21, 8 Ga 3.22
U (0.0000, 0.0000, 0.5000) x1  8 Ga 3.11, 4 U 3.21
Ga (0.5000, 0.5000, 0.2593) x2  4 U 3.11, 4 Ga 3.21, 4 Eu 3.22

Computed properties:
Uncorrected energy in eV/atom: -7.0821